Entry 1:
VASP calculation (PBE) on a relaxed TaBe2Pb crystal.

extended XYZ file:
```
4
Lattice="-1.977 1.977 4.089 1.977 -1.977 4.089 1.977 1.977 -4.089" Properties=species:S:1:pos:R:3 pbc="T T T"
Ta 0.000 0.000 0.000
Be 1.977 0.000 2.045
Be 0.000 1.977 2.045
Pb 0.000 0.000 4.089
```

Total energy: -5.05 eV per atom
Formation enthalpy at 0 K: 704 meV/atom
Symmetry: I4/mmm, No. 139

=====

Entry 2:
VASP calculation (PBE) on a relaxed TaBe2Pb crystal.

extended XYZ file:
```
4
Lattice="2.921 -3.550 0.000 2.921 3.550 0.000 -0.021 0.000 3.025" Properties=species:S:1:pos:R:3 pbc="T T T"
Ta 0.000 0.000 0.000
Be 1.450 1.775 1.513
Be 1.450 -1.775 1.513
Pb 2.921 0.000 0.000
```

Total energy: -5.17 eV per atom
Formation enthalpy at 0 K: 581 meV/atom
Symmetry: C2/m, No. 12

=====

Entry 3:
VASP calculation (PBE) on a relaxed TaBe2Pb crystal.

extended XYZ file:
```
4
Lattice="2.105 -2.113 0.000 2.105 2.113 0.000 0.000 0.000 7.757" Properties=species:S:1:pos:R:3 pbc="T T T"
Ta 0.000 0.000 0.000
Be 2.105 0.000 1.535
Be 2.105 0.000 6.222
Pb 0.000 0.000 3.878
```

Total energy: -5.24 eV per atom
Formation enthalpy at 0 K: 513 meV/atom
Symmetry: Cmmm, No. 65

=====

Entry 4:
VASP calculation (PBE) on a relaxed TaBe3Pb crystal.

extended XYZ file:
```
5
Lattice="4.638 0.000 0.000 0.000 4.638 0.000 0.000 0.000 4.638" Properties=species:S:1:pos:R:3 pbc="T T T"
Ta 0.000 0.000 0.000
Be 0.000 0.000 2.319
Be 0.000 2.319 0.000
Be 2.319 0.000 0.000
Pb 2.319 2.319 2.319
```

Total energy: -3.97 eV per atom
Formation enthalpy at 0 K: 1379 meV/atom
ΔE to the lowest computed polymorph: 0.000 eV per formula unit
Symmetry: Pm-3m, No. 221

=====

Entry 5:
VASP calculation (PBE) on a relaxed TaBe2Pb crystal.

extended XYZ file:
```
4
Lattice="2.575 -4.627 0.000 2.575 4.627 0.000 -2.493 0.000 2.577" Properties=species:S:1:pos:R:3 pbc="T T T"
Ta 0.000 0.000 0.000
Be 2.575 -0.269 0.000
Be 1.328 -1.916 1.288
Pb 1.328 2.229 1.288
```

Total energy: -5.35 eV per atom
Formation enthalpy at 0 K: 399 meV/atom
Symmetry: C2, No. 5

=====

Entry 6:
VASP calculation (PBE) on a relaxed Ta2BePb crystal.

extended XYZ file:
```
4
Lattice="2.977 0.000 0.000 0.000 2.977 0.000 0.000 0.000 8.450" Properties=species:S:1:pos:R:3 pbc="T T T"
Ta 0.000 0.000 0.000
Ta 1.488 1.488 2.239
Be 0.000 0.000 3.722
Pb 1.488 1.488 5.998
```

Total energy: -7.28 eV per atom
Formation enthalpy at 0 K: 509 meV/atom
ΔE to the lowest computed polymorph: 0.681 eV per formula unit
Symmetry: P4mm, No. 99

=====

Entry 7:
VASP calculation (PBE) on a relaxed Ta2Be2Pb crystal.

extended XYZ file:
```
10
Lattice="6.390 0.000 0.000 0.000 6.390 0.000 0.000 0.000 3.669" Properties=species:S:1:pos:R:3 pbc="T T T"
Ta 1.105 2.090 0.000
Ta 2.090 5.285 0.000
Ta 4.300 1.105 0.000
Ta 5.285 4.300 0.000
Be 0.708 3.903 1.834
Be 2.487 0.708 1.834
Be 3.903 5.682 1.834
Be 5.682 2.487 1.834
Pb 0.000 0.000 1.834
Pb 3.195 3.195 1.834
```

Total energy: -6.75 eV per atom
Formation enthalpy at 0 K: 220 meV/atom
ΔE to the lowest computed polymorph: 0.000 eV per formula unit
Symmetry: P4/mbm, No. 127

=====

Entry 8:
VASP calculation (PBE) on a relaxed Ta2BePb crystal.

extended XYZ file:
```
4
Lattice="-2.017 2.017 4.393 2.017 -2.017 4.393 2.017 2.017 -4.393" Properties=species:S:1:pos:R:3 pbc="T T T"
Ta 0.000 0.000 0.000
Ta 0.000 2.017 2.196
Be 2.017 0.000 2.196
Pb 0.000 0.000 4.393
```

Total energy: -7.25 eV per atom
Formation enthalpy at 0 K: 536 meV/atom
ΔE to the lowest computed polymorph: 0.790 eV per formula unit
Symmetry: I-4m2, No. 119

=====

Entry 9:
VASP calculation (PBE) on a relaxed Ta2BePb crystal.

extended XYZ file:
```
4
Lattice="1.900 -2.472 0.000 1.900 2.472 0.000 0.000 0.000 7.636" Properties=species:S:1:pos:R:3 pbc="T T T"
Ta 0.000 0.000 0.000
Ta 1.900 0.000 2.076
Be 1.900 0.000 6.156
Pb 0.000 0.000 4.356
```

Total energy: -7.37 eV per atom
Formation enthalpy at 0 K: 411 meV/atom
ΔE to the lowest computed polymorph: 0.289 eV per formula unit
Symmetry: Cmm2, No. 35

=====

Entry 10:
VASP calculation (PBE) on a relaxed TaBe2Pb crystal.

extended XYZ file:
```
4
Lattice="3.073 0.000 0.000 0.000 3.098 0.000 0.000 0.000 6.690" Properties=species:S:1:pos:R:3 pbc="T T T"
Ta 0.000 0.000 0.000
Be 0.000 0.000 4.252
Be 1.536 1.549 5.182
Pb 1.536 1.549 2.313
```

Total energy: -5.20 eV per atom
Formation enthalpy at 0 K: 555 meV/atom
Symmetry: Pmm2, No. 25

=====

Entry 11:
VASP calculation (PBE) on a relaxed Ta2Be2Pb crystal.

extended XYZ file:
```
5
Lattice="-1.489 1.489 9.210 1.489 -1.489 9.210 1.489 1.489 -9.210" Properties=species:S:1:pos:R:3 pbc="T T T"
Ta 0.000 0.000 2.433
Ta 0.000 0.000 15.988
Be 1.489 0.000 4.605
Be 0.000 1.489 4.605
Pb 0.000 0.000 9.210
```

Total energy: -6.40 eV per atom
Formation enthalpy at 0 K: 573 meV/atom
ΔE to the lowest computed polymorph: 1.763 eV per formula unit
Symmetry: I4/mmm, No. 139

=====

Entry 12:
VASP calculation (PBE) on a relaxed TaBe2Pb crystal.

extended XYZ file:
```
4
Lattice="2.953 0.000 0.000 0.000 3.750 0.000 0.000 0.000 5.982" Properties=species:S:1:pos:R:3 pbc="T T T"
Ta 0.000 0.000 0.000
Be 1.476 0.000 3.931
Be 1.476 1.875 4.941
Pb 1.476 1.875 2.031
```

Total energy: -5.28 eV per atom
Formation enthalpy at 0 K: 469 meV/atom
Symmetry: Pmm2, No. 25

=====

- formation enthalpy at 0 K of number 9 (Ta2BePb)?
  411 meV/atom

=====

- The lowest formation enthalpy at 0 K belongs to which entry?
  number 7

=====

- Which of these has the lowest total energy?
  number 9

=====

- Look up the total energy of the third one.
  -5.24 eV per atom